#i
! YMoAs3 PBE-GGA relaxed; values from VASP
&SYSTEM
  ibrav = 0, nat = 5, ntyp = 3
/
ATOMIC_SPECIES
Y 88.91 Y.upf
Mo 95.94 Mo.upf
As 74.92 As.upf
ATOMIC_POSITIONS crystal
Y 0.0000 0.0000 0.0000
Mo 0.5000 0.5000 0.5000
As 0.0000 0.0000 0.5000
As 0.0000 0.5000 0.0000
As 0.5000 0.0000 0.0000
CELL_PARAMETERS angstrom
5.2164 0.0000 0.0000
0.0000 5.2164 0.0000
0.0000 0.0000 5.2164
! Magnetization in Bohr magnetons per cell: 0.00
! Symmetry: Pm-3m (221)

#ii
! YMoAs3 PBE-GGA relaxed; values from VASP
&SYSTEM
  ibrav = 0, nat = 5, ntyp = 3
/
ATOMIC_SPECIES
Y 88.91 Y.upf
Mo 95.94 Mo.upf
As 74.92 As.upf
ATOMIC_POSITIONS crystal
Y 0.0000 0.0000 0.0000
Mo 0.5000 0.5000 0.5000
As 0.0000 0.5000 0.5000
As 0.5000 0.0000 0.5000
As 0.5000 0.5000 0.0000
CELL_PARAMETERS angstrom
4.8991 0.0000 0.0000
0.0000 4.8991 0.0000
0.0000 0.0000 4.8991
! Magnetization in Bohr magnetons per cell: 0.00
! Symmetry: Pm-3m (221)

Stability order, top to bottom: #ii, #i

#i
! ZnMo2As2 PBE-GGA relaxed; values from VASP
&SYSTEM
  ibrav = 0, nat = 10, ntyp = 3
/
ATOMIC_SPECIES
Zn 65.41 Zn.upf
Mo 95.94 Mo.upf
As 74.92 As.upf
ATOMIC_POSITIONS crystal
Zn 0.0000 0.0000 0.0000
Zn 0.5000 0.5000 0.0000
Mo 0.1515 0.3485 0.5000
Mo 0.3485 0.8485 0.5000
Mo 0.6515 0.1515 0.5000
Mo 0.8485 0.6515 0.5000
As 0.1446 0.6446 0.0000
As 0.3554 0.1446 0.0000
As 0.6446 0.8554 0.0000
As 0.8554 0.3554 0.0000
CELL_PARAMETERS angstrom
7.2559 0.0000 0.0000
0.0000 7.2559 0.0000
0.0000 0.0000 3.0703
! Magnetization in Bohr magnetons per cell: 0.00
! Symmetry: P4/mbm (127)

#ii
! ZnMo2As2 PBE-GGA relaxed; values from VASP
&SYSTEM
  ibrav = 0, nat = 5, ntyp = 3
/
ATOMIC_SPECIES
Zn 65.41 Zn.upf
Mo 95.94 Mo.upf
As 74.92 As.upf
ATOMIC_POSITIONS crystal
Zn 0.0000 0.0000 0.0000
Mo 0.3840 0.3840 0.0000
Mo 0.6160 0.6160 0.0000
As 0.2500 0.7500 0.5000
As 0.7500 0.2500 0.5000
CELL_PARAMETERS angstrom
-2.1589 2.1589 5.1257
2.1589 -2.1589 5.1257
2.1589 2.1589 -5.1257
! Magnetization in Bohr magnetons per cell: 0.00
! Symmetry: I4/mmm (139)

#iii
! ZnMo2As2 PBE-GGA relaxed; values from VASP
&SYSTEM
  ibrav = 0, nat = 10, ntyp = 3
/
ATOMIC_SPECIES
Zn 65.41 Zn.upf
Mo 95.94 Mo.upf
As 74.92 As.upf
ATOMIC_POSITIONS crystal
Zn 0.0000 0.0000 0.0000
Zn 0.5000 0.5000 0.0000
Mo 0.1445 0.3555 0.0000
Mo 0.3555 0.8555 0.0000
Mo 0.6445 0.1445 0.0000
Mo 0.8555 0.6445 0.0000
As 0.1502 0.6502 0.5000
As 0.3498 0.1502 0.5000
As 0.6502 0.8498 0.5000
As 0.8498 0.3498 0.5000
CELL_PARAMETERS angstrom
7.0365 0.0000 0.0000
0.0000 7.0365 0.0000
0.0000 0.0000 3.2936
! Magnetization in Bohr magnetons per cell: 0.00
! Symmetry: P4/mbm (127)

Stability order, top to bottom: #iii, #i, #ii

#i
! ZrMo3As PBE-GGA relaxed; values from VASP
&SYSTEM
  ibrav = 0, nat = 5, ntyp = 3
/
ATOMIC_SPECIES
Zr 91.22 Zr.upf
Mo 95.94 Mo.upf
As 74.92 As.upf
ATOMIC_POSITIONS crystal
Zr 0.0000 0.0000 0.0000
Mo 0.0000 0.0000 0.5000
Mo 0.0000 0.5000 0.0000
Mo 0.5000 0.0000 0.0000
As 0.5000 0.5000 0.5000
CELL_PARAMETERS angstrom
4.8266 0.0000 0.0000
0.0000 4.8266 0.0000
0.0000 0.0000 4.8266
! Magnetization in Bohr magnetons per cell: 0.00
! Symmetry: Pm-3m (221)

#ii
! ZrMo3As PBE-GGA relaxed; values from VASP
&SYSTEM
  ibrav = 0, nat = 5, ntyp = 3
/
ATOMIC_SPECIES
Zr 91.22 Zr.upf
Mo 95.94 Mo.upf
As 74.92 As.upf
ATOMIC_POSITIONS crystal
Zr 0.0000 0.0000 0.0000
Mo 0.0000 0.5000 0.5000
Mo 0.5000 0.0000 0.5000
Mo 0.5000 0.5000 0.0000
As 0.5000 0.5000 0.5000
CELL_PARAMETERS angstrom
4.6273 0.0000 0.0000
0.0000 4.6273 0.0000
0.0000 0.0000 4.6273
! Magnetization in Bohr magnetons per cell: 0.00
! Symmetry: Pm-3m (221)

Stability order, top to bottom: #ii, #i

#i
! Na2AsN PBE-GGA relaxed; values from VASP
&SYSTEM
  ibrav = 0, nat = 8, ntyp = 3
/
ATOMIC_SPECIES
Na 22.99 Na.upf
As 74.92 As.upf
N 14.01 N.upf
ATOMIC_POSITIONS crystal
Na 0.3750 0.1160 0.2410
Na 0.8660 0.6250 0.7410
Na 0.8750 0.1340 0.7590
Na 0.8840 0.1250 0.2590
As 0.2500 0.7500 0.5000
As 0.5000 0.5000 0.0000
N 0.0000 0.0000 0.0000
N 0.7500 0.2500 0.5000
CELL_PARAMETERS angstrom
-4.9045 4.9045 2.0323
4.9045 -4.9045 2.0323
4.9045 4.9045 -2.0323
! Magnetization in Bohr magnetons per cell: 0.00
! Symmetry: I-42d (122)

#ii
! Na2AsN PBE-GGA relaxed; values from VASP
&SYSTEM
  ibrav = 0, nat = 4, ntyp = 3
/
ATOMIC_SPECIES
Na 22.99 Na.upf
As 74.92 As.upf
N 14.01 N.upf
ATOMIC_POSITIONS crystal
Na 0.2500 0.2500 0.2500
Na 0.7500 0.7500 0.7500
As 0.0000 0.0000 0.0000
N 0.5000 0.5000 0.5000
CELL_PARAMETERS angstrom
0.0000 3.2521 3.2521
3.2521 0.0000 3.2521
3.2521 3.2521 0.0000
! Magnetization in Bohr magnetons per cell: 0.00
! Symmetry: Fm-3m (225)

Stability order, top to bottom: #i, #ii

#i
! NaAsSN2 PBE-GGA relaxed; values from VASP
&SYSTEM
  ibrav = 0, nat = 5, ntyp = 4
/
ATOMIC_SPECIES
Na 22.99 Na.upf
As 74.92 As.upf
S 32.06 S.upf
N 14.01 N.upf
ATOMIC_POSITIONS crystal
Na 0.0000 0.0000 0.0000
As 0.5000 0.5000 0.5000
S 0.5000 0.5000 0.0000
N 0.0000 0.5000 0.5000
N 0.5000 0.0000 0.5000
CELL_PARAMETERS angstrom
3.8622 0.0000 0.0000
0.0000 3.8622 0.0000
0.0000 0.0000 4.9900
! Magnetization in Bohr magnetons per cell: 1.98
! Symmetry: P4/mmm (123)

#ii
! NaAsSN2 PBE-GGA relaxed; values from VASP
&SYSTEM
  ibrav = 0, nat = 5, ntyp = 4
/
ATOMIC_SPECIES
Na 22.99 Na.upf
As 74.92 As.upf
S 32.06 S.upf
N 14.01 N.upf
ATOMIC_POSITIONS crystal
Na 0.0000 0.0000 0.0000
As 0.5000 0.5000 0.5000
S 0.0000 0.0000 0.5000
N 0.0000 0.5000 0.0000
N 0.5000 0.0000 0.0000
CELL_PARAMETERS angstrom
4.2750 0.0000 0.0000
0.0000 4.2750 0.0000
0.0000 0.0000 5.2049
! Magnetization in Bohr magnetons per cell: 4.04
! Symmetry: P4/mmm (123)

Stability order, top to bottom: #i, #ii

#i
! NaAsSe2N PBE-GGA relaxed; values from VASP
&SYSTEM
  ibrav = 0, nat = 5, ntyp = 4
/
ATOMIC_SPECIES
Na 22.99 Na.upf
As 74.92 As.upf
Se 78.96 Se.upf
N 14.01 N.upf
ATOMIC_POSITIONS crystal
Na 0.0000 0.0000 0.0000
As 0.5000 0.5000 0.5000
Se 0.0000 0.5000 0.5000
Se 0.5000 0.0000 0.5000
N 0.5000 0.5000 0.0000
CELL_PARAMETERS angstrom
5.3890 0.0000 0.0000
0.0000 5.3890 0.0000
0.0000 0.0000 3.5961
! Magnetization in Bohr magnetons per cell: 0.00
! Symmetry: P4/mmm (123)

#ii
! NaAsSe2N PBE-GGA relaxed; values from VASP
&SYSTEM
  ibrav = 0, nat = 5, ntyp = 4
/
ATOMIC_SPECIES
Na 22.99 Na.upf
As 74.92 As.upf
Se 78.96 Se.upf
N 14.01 N.upf
ATOMIC_POSITIONS crystal
Na 0.0000 0.0000 0.0000
As 0.0000 0.0000 0.5000
Se 0.0000 0.5000 0.0000
Se 0.5000 0.0000 0.0000
N 0.5000 0.5000 0.5000
CELL_PARAMETERS angstrom
5.1521 0.0000 0.0000
0.0000 5.1521 0.0000
0.0000 0.0000 5.3014
! Magnetization in Bohr magnetons per cell: 2.38
! Symmetry: P4/mmm (123)

Stability order, top to bottom: #i, #ii